(1)
Compound: ScRhCl2
Source: Alexandria
Functional: SCAN
Structure: single point on PBEsol structure

For the uncorrected formation energy, the calculation gives -1.198 eV per atom. The calculation puts the total energy at -68.8 eV for the cell shown. Its calculated density is 4.51 g/cm3.

The space group is Pm (No. 6) and the conventional cell measures 3.459, 3.662 and 6.385 Å, with angles of 90.00, 94.54 and 90.00 degrees. The distinct sites, in fractional coordinates, are Sc at (0.000, 0.000, 0.000), Rh at (0.480, 0.500, 0.870), Cl at (0.240, 0.000, 0.629) and Cl at (0.696, 0.500, 0.227).

(2)
Compound: ScRhCl2
Source: Alexandria
Functional: SCAN
Structure: single point on PBEsol structure

For the uncorrected formation energy, the calculation gives -0.590 eV per atom. The calculation puts the total energy at -265.3 eV for the cell shown. Its calculated density is 5.52 g/cm3.

The space group is F-43m (No. 216) and the conventional cell measures 6.409, 6.409 and 6.409 Å, with angles of 90.00, 90.00 and 90.00 degrees. The distinct sites, in fractional coordinates, are Sc at (0.000, 0.000, 0.000), Rh at (0.250, 0.250, 0.250), Cl at (0.000, 0.000, 0.500) and Cl at (0.250, 0.250, 0.750).

(3)
Compound: ScRhCl2
Source: Alexandria
Functional: SCAN
Structure: single point on PBEsol structure

For the uncorrected formation energy, the calculation gives -0.598 eV per atom. The calculation puts the total energy at -66.4 eV for the cell shown. Its calculated density is 5.87 g/cm3.

The space group is P4/mmm (No. 123) and the conventional cell measures 4.267, 4.267 and 3.400 Å, with angles of 90.00, 90.00 and 90.00 degrees. The distinct sites, in fractional coordinates, are Sc at (0.000, 0.000, 0.000), Rh at (0.500, 0.500, 0.000) and Cl at (0.000, 0.500, 0.500).

(4)
Compound: Sc2RhCl
Source: Alexandria
Functional: SCAN
Structure: single point on PBEsol structure

For the uncorrected formation energy, the calculation gives -1.274 eV per atom. The calculation puts the total energy at -75.3 eV for the cell shown. Its calculated density is 5.03 g/cm3.

The space group is Pmmm (No. 47) and the conventional cell measures 3.084, 3.260 and 7.490 Å, with angles of 90.00, 90.00 and 90.00 degrees. The distinct sites, in fractional coordinates, are Sc at (0.000, 0.000, 0.212), Rh at (0.500, 0.500, 0.000) and Cl at (0.500, 0.000, 0.500).

- The lowest calculated density belongs to which entry?
  number 1

- Look up the calculated density of the first one.
  4.51 g/cm3